Entry 1:
SrNdCr2O8 after structural relaxation. Source: Alexandria, functional PBE with a Hubbard U.

```
SrNdCr2O8
1.0
5.741 0.000 0.000
-2.871 4.972 0.000
0.000 0.000 7.376
O Cr Nd Sr
8 2 1 1
Direct
0.170 0.830 0.722
0.830 0.170 0.278
0.659 0.830 0.722
0.830 0.659 0.278
0.341 0.170 0.278
0.333 0.667 0.019
0.170 0.341 0.722
0.667 0.333 0.981
0.333 0.667 0.796
0.667 0.333 0.204
0.000 0.000 0.500
0.000 0.000 0.000
```

Results
Space group: P-3m1, No. 164
VASP energy (eV per atom): -7.122

Entry 2:
Ac3VGa2O9 after structural relaxation. Source: Alexandria, functional PBE with a Hubbard U.

```
Ac3VGa2O9
1.0
-2.302 3.362 -3.889
-2.069 -5.173 0.832
-4.380 2.519 4.771
O V Ga Ac
9 1 2 3
Direct
0.500 0.500 0.000
0.500 0.000 0.000
0.832 0.665 0.670
0.000 0.500 0.000
0.665 0.832 0.330
0.168 0.832 0.330
0.335 0.168 0.670
0.168 0.335 0.330
0.832 0.168 0.670
0.000 0.000 0.500
0.667 0.333 0.834
0.333 0.667 0.166
0.667 0.333 0.330
0.333 0.667 0.670
0.000 0.000 0.000
```

Results
Space group: P-3m1, No. 164
VASP energy (eV per atom): -7.390